# U2Mn2VC4

A relaxed structure of U2Mn2VC4 (PBE, Alexandria).

Summary:
Total moment = 4.38 μB/cell
Space group = C2/m
Formation energy from the elements = -1.28 eV/f.u.

Unit cell a=3.004 b=6.625 c=5.484 alpha=102.97 beta=90.00 gamma=103.10
Last column: magnetic moment on the atom in μB.
Fractional positions:
C  0.536  0.073  0.768  -0.05
C  0.240  0.481  0.232  -0.06
C  0.760  0.519  0.768  -0.06
C  0.464  0.927  0.232  -0.05
U  0.877  0.754  0.470  1.18
U  0.123  0.246  0.530  1.18
Mn  0.676  0.353  0.031  0.79
Mn  0.324  0.647  0.969  0.79
V  0.000  0.000  0.000  0.50

=====

# ReTeRu

A relaxed structure of ReTeRu (PBE, Alexandria).

Summary:
Total moment = 0.00 μB/cell
ΔE_f (raw) = 0.523 eV per atom
Space group = F-43m
E above lowest polymorph = 0 meV per atom

Unit cell a=4.346 b=4.346 c=4.346 alpha=60.00 beta=60.00 gamma=60.00
Fractional positions:
Te  0.500  0.500  0.500
Re  0.750  0.750  0.750
Ru  0.000  0.000  0.000

=====

# Ac2Cd5Pd4

A relaxed structure of Ac2Cd5Pd4 (PBE, Alexandria).

Summary:
Total moment = 0.00 μB/cell
Space group = Fmmm
Formation energy from the elements = -5.33 eV/f.u.
E above lowest polymorph = 0 meV per atom

Unit cell a=5.755 b=5.727 c=9.568 alpha=81.31 beta=72.50 gamma=59.83
Fractional positions:
Cd  0.250  0.500  0.500
Cd  0.000  0.500  0.000
Cd  0.750  0.500  0.500
Cd  0.500  0.500  0.000
Cd  0.500  0.000  0.000
Ac  0.135  0.000  0.729
Ac  0.865  0.000  0.271
Pd  0.470  0.316  0.744
Pd  0.214  0.316  0.256
Pd  0.530  0.684  0.256
Pd  0.786  0.684  0.744

=====

# TcRu2Se

A relaxed structure of TcRu2Se (PBE, Alexandria).

Summary:
Total moment = 0.00 μB/cell
ΔE_f (raw) = 0.309 eV per atom
Space group = Pmmm

Unit cell a=2.876 b=3.734 c=5.537 alpha=90.00 beta=90.00 gamma=90.00
Fractional positions:
Tc  0.500  0.500  0.750
Ru  0.000  0.000  0.512
Ru  0.000  0.000  0.988
Se  0.500  0.500  0.250

=====

# Sr4In12Ag

A relaxed structure of Sr4In12Ag (PBE, Alexandria).

Summary:
Total moment = 0.00 μB/cell
Space group = Im-3m
Formation energy from the elements = -5.17 eV/f.u.

Unit cell a=8.537 b=8.537 c=8.537 alpha=109.47 beta=109.47 gamma=109.47
Fractional positions:
Sr  0.500  0.000  0.000
Sr  0.500  0.500  0.500
Sr  0.000  0.500  0.000
Sr  0.000  0.000  0.500
In  0.000  0.707  0.707
In  0.293  0.000  0.293
In  0.750  0.250  0.500
In  0.293  0.293  0.000
In  0.250  0.500  0.750
In  0.707  0.707  0.000
In  0.000  0.293  0.293
In  0.500  0.250  0.750
In  0.750  0.500  0.250
In  0.707  0.000  0.707
In  0.500  0.750  0.250
In  0.250  0.750  0.500
Ag  0.000  0.000  0.000

=====

# SrLiRe2I

A relaxed structure of SrLiRe2I (PBE, Alexandria).

Summary:
Total moment = 1.77 μB/cell
ΔE_f (raw) = 1.822 eV per atom
Space group = P4/mmm

Unit cell a=4.953 b=5.900 c=4.953 alpha=90.00 beta=90.00 gamma=90.00
Last column: magnetic moment on the atom in μB.
Fractional positions:
Li  0.500  0.500  0.500  -0.01
I  0.000  0.000  0.000  0.00
Re  0.000  0.000  0.500  0.62
Re  0.500  0.000  0.000  0.96
Sr  0.000  0.500  0.000  -0.01